First-principles (PBE-GGA) data for a relaxed AlCdCoCu crystal, as listed in OQMD.

a = 6.0783 Å, b = 6.0783 Å, c = 6.0783 Å
α = 90.00°, β = 90.00°, γ = 90.00°
Closest atoms and distances in Å follow each position.
Space group F-43m (No. 216)
Unique sites:
Al1 0.0000 0.0000 0.0000 (multiplicity 4)  4 Co 2.63, 4 Cu 2.63
Cd1 0.0000 0.0000 0.5000 (multiplicity 4)  4 Co 2.63, 4 Cu 2.63
Co1 0.2500 0.2500 0.2500 (multiplicity 4)  4 Cd 2.63, 4 Al 2.63
Cu1 0.2500 0.2500 0.7500 (multiplicity 4)  4 Cd 2.63, 4 Al 2.63

Output
E above lowest polymorph = 0.000 eV per formula unit